Entry 1:
Entry from Alexandria via LeMat-Bulk: a relaxed structure of Rb3La3VS8 (PBE).

```
Rb3La3VS8
1.0
-3.404 -7.121 2.438
5.410 0.067 -6.242
3.383 1.265 8.413
S Rb La V
8 3 3 1
direct
0.770 0.973 0.677
0.796 0.027 0.323
0.230 0.027 0.323
0.796 0.593 0.323
0.204 0.407 0.677
0.266 0.532 0.298
0.204 0.973 0.677
0.734 0.468 0.702
0.500 0.500 0.000
0.000 0.000 0.000
0.000 0.500 0.000
0.500 0.500 0.500
0.500 0.000 0.500
0.000 0.500 0.500
0.000 0.000 0.500
```

formation energy from raw total energies: -1.591 eV per atom
E_tot: -83.69 eV/cell



Entry 2:
Entry from Alexandria via LeMat-Bulk: a relaxed structure of TbTl2I5 (PBE).

```
TbTl2I5
1.0
8.455 0.001 -0.001
0.001 8.455 -0.001
-4.229 -4.229 6.851
I Tl Tb
5 2 1
direct
0.801 0.287 0.088
0.287 0.287 0.087
0.776 0.776 0.552
0.801 0.801 0.088
0.287 0.801 0.088
0.670 0.170 0.340
0.170 0.670 0.340
0.986 0.986 0.972
```

formation energy from raw total energies: -0.970 eV per atom
E_tot: -24.87 eV/cell
energy relative to the lowest polymorph listed for this composition: 0.0510 eV per atom



Entry 3:
Entry from Alexandria via LeMat-Bulk: a relaxed structure of NaVBr5 (PBE).

```
NaVBr5
1.0
-3.631 -5.401 -5.215
-2.611 -7.808 1.328
-9.654 0.262 1.602
Br Na V
10 2 2
direct
0.352 0.896 0.378
0.355 0.889 0.993
0.111 0.645 0.507
0.648 0.104 0.622
0.861 0.139 0.250
0.889 0.355 0.493
0.896 0.352 0.878
0.139 0.861 0.750
0.104 0.648 0.122
0.645 0.111 0.007
0.559 0.441 0.750
0.441 0.559 0.250
0.000 0.000 0.500
0.000 0.000 0.000
```

formation energy from raw total energies: -0.901 eV per atom
E_tot: -50.21 eV/cell
energy relative to the lowest polymorph listed for this composition: 0.0074 eV per atom



Entry 4:
Entry from Alexandria via LeMat-Bulk: a relaxed structure of RbBi2Au2 (PBE).

```
RbBi2Au2
1.0
-3.108 -8.356 1.663
-0.140 -1.720 -8.903
3.214 -1.161 0.174
Bi Au Rb
4 4 2
direct
0.860 0.360 0.500
0.140 0.640 0.500
0.640 0.860 0.500
0.360 0.140 0.500
0.656 0.156 0.000
0.844 0.656 0.000
0.344 0.844 0.000
0.156 0.344 0.000
0.000 0.000 0.000
0.500 0.500 0.000
```

E_tot: -31.27 eV/cell
energy relative to the lowest polymorph listed for this composition: 0.1409 eV per atom



Entry 5:
Entry from Alexandria via LeMat-Bulk: a relaxed structure of KCd3Hg3 (PBE).

```
KCd3Hg3
1.0
-4.007 -5.896 3.756
6.337 -1.235 4.821
-2.951 5.352 5.251
Cd Hg K
6 6 2
direct
0.750 0.000 0.500
0.500 0.250 0.000
0.000 0.500 0.750
0.000 0.500 0.250
0.250 0.000 0.500
0.500 0.750 0.000
0.750 0.500 0.000
0.500 0.000 0.750
0.500 0.000 0.250
0.000 0.750 0.500
0.000 0.250 0.500
0.250 0.500 0.000
0.500 0.500 0.500
0.000 0.000 0.000
```

E_tot: -8.88 eV/cell
energy relative to the lowest polymorph listed for this composition: 0.1547 eV per atom



Entry 6:
Entry from Alexandria via LeMat-Bulk: a relaxed structure of Pm6Ge2As3Se (PBE).

```
Pm6Ge2As3Se
1.0
-1.976 3.063 -2.104
-7.077 -1.438 4.553
5.492 4.815 6.061
Pm Ge As Se
6 2 3 1
direct
0.000 0.744 0.999
0.334 0.414 0.668
0.666 0.586 0.332
0.668 0.082 0.335
0.332 0.918 0.665
0.000 0.256 0.001
0.834 0.667 0.668
0.166 0.333 0.332
0.835 0.166 0.670
0.165 0.834 0.330
0.500 0.500 0.000
0.500 0.000 0.000
```

formation energy from raw total energies: -1.346 eV per atom
E_tot: -71.32 eV/cell



Entry 7:
Entry from Alexandria via LeMat-Bulk: a relaxed structure of CuNiSe2 (PBE).

```
CuNiSe2
1.0
6.026 0.007 -0.006
-0.013 5.684 -0.050
0.008 -1.142 3.962
Cu Se Ni
2 4 2
direct
0.288 0.858 0.293
0.199 0.359 0.294
0.908 0.660 0.202
0.579 0.160 0.201
0.436 0.665 0.720
0.052 0.165 0.720
0.789 0.464 0.625
0.698 0.965 0.625
```

formation energy from raw total energies: -0.178 eV per atom
E_tot: -35.12 eV/cell



Entry 8:
Entry from Alexandria via LeMat-Bulk: a relaxed structure of BaLi2Ru (PBE).

```
BaLi2Ru
1.0
-4.297 -6.138 7.360
-1.864 -7.948 6.608
-1.522 -5.664 8.713
Li Ba Ru
2 1 1
direct
0.521 0.521 0.521
0.979 0.979 0.979
0.750 0.750 0.750
0.250 0.250 0.250
```

E_tot: -12.08 eV/cell
energy relative to the lowest polymorph listed for this composition: 0.3644 eV per atom